Below is a crystal of BaSr2Tl relaxed with PBEsol, with properties calculated at the SCAN level.

```
BaSr2Tl
1.0
4.199 0.000 0.000
0.000 5.488 0.000
-1.713 0.000 7.420
Ba Sr Tl
1 2 1
direct
0.000 0.000 0.000
0.384 0.500 0.714
0.616 0.500 0.286
0.000 0.000 0.500
```

Properties
Its electronic total energy is -39.29 eV/atom. As for the space group: P2/m. The calculation puts the density of states at the Fermi level at 1.50 states/eV per atom. The energy relative to the elements comes out at -175 meV/atom.